# CaReS3 | the Alexandria database | PBE | relaxed
# * density of states at the Fermi level: 0.64 states/eV per atom
# * M_tot: 3.00 μB/f.u.
# * E: -0.310 Ry/atom
# * calculated volume: 134 Å³/cell
data_CaReS3
_symmetry_space_group_name_H-M 'P m -3 m'
_symmetry_Int_Tables_number 221
_symmetry_space_group_name_Hall '-P 4 2 3'
_cell_length_a 5.1206
_cell_length_b 5.1206
_cell_length_c 5.1206
_cell_angle_alpha 90.00
_cell_angle_beta 90.00
_cell_angle_gamma 90.00
loop_
_atom_site_label
_atom_site_type_symbol
_atom_site_fract_x
_atom_site_fract_y
_atom_site_fract_z
Ca1 Ca 0.0000 0.0000 0.0000
Re1 Re 0.5000 0.5000 0.5000
S1 S 0.0000 0.0000 0.5000

***

# Ca2ReS2 | the Alexandria database | PBE | relaxed
# * density of states at the Fermi level: 0.65 states/eV per atom
# * M_tot: 0.00 μB/f.u.
# * E: -0.417 Ry/atom
# * calculated volume: 187 Å³/cell
data_Ca2ReS2
_symmetry_space_group_name_H-M 'P 4/m b m'
_symmetry_Int_Tables_number 127
_symmetry_space_group_name_Hall '-P 4 2ab'
_cell_length_a 6.9093
_cell_length_b 6.9093
_cell_length_c 3.9145
_cell_angle_alpha 90.00
_cell_angle_beta 90.00
_cell_angle_gamma 90.00
loop_
_atom_site_label
_atom_site_type_symbol
_atom_site_fract_x
_atom_site_fract_y
_atom_site_fract_z
Ca1 Ca 0.1555 0.3445 0.0000
Re1 Re 0.0000 0.0000 0.5000
S1 S 0.1630 0.6630 0.5000

***

# Ca2ReS2 | the Alexandria database | PBE | relaxed
# * density of states at the Fermi level: 1.11 states/eV per atom
# * M_tot: 0.00 μB/f.u.
# * E: -0.401 Ry/atom
# * calculated volume: 245 Å³/cell
data_Ca2ReS2
_symmetry_space_group_name_H-M 'I 4/m m m'
_symmetry_Int_Tables_number 139
_symmetry_space_group_name_Hall '-I 4 2'
_cell_length_a 5.6132
_cell_length_b 5.6132
_cell_length_c 7.7892
_cell_angle_alpha 90.00
_cell_angle_beta 90.00
_cell_angle_gamma 90.00
loop_
_atom_site_label
_atom_site_type_symbol
_atom_site_fract_x
_atom_site_fract_y
_atom_site_fract_z
Ca1 Ca 0.0000 0.5000 0.2500
Re1 Re 0.0000 0.0000 0.0000
S1 S 0.0000 0.0000 0.2891

***

Repeat the third record exactly.
# Ca2ReS2 | the Alexandria database | PBE | relaxed
# * density of states at the Fermi level: 1.11 states/eV per atom
# * M_tot: 0.00 μB/f.u.
# * E: -0.401 Ry/atom
# * calculated volume: 245 Å³/cell
data_Ca2ReS2
_symmetry_space_group_name_H-M 'I 4/m m m'
_symmetry_Int_Tables_number 139
_symmetry_space_group_name_Hall '-I 4 2'
_cell_length_a 5.6132
_cell_length_b 5.6132
_cell_length_c 7.7892
_cell_angle_alpha 90.00
_cell_angle_beta 90.00
_cell_angle_gamma 90.00
loop_
_atom_site_label
_atom_site_type_symbol
_atom_site_fract_x
_atom_site_fract_y
_atom_site_fract_z
Ca1 Ca 0.0000 0.5000 0.2500
Re1 Re 0.0000 0.0000 0.0000
S1 S 0.0000 0.0000 0.2891

***

- Which value of calculated volume does entry 3 give?
  245 Å³/cell

***

- Number 1 is which compound?
  CaReS3